No. 1
An optimized crystal structure of VMoPt2, computed with GGA-PBE.

extended XYZ file:
```
4
Lattice="2.721 0.000 0.000 0.000 4.441 -1.994 0.000 0.154 4.866" Properties=species:S:1:pos:R:3 pbc="T T T"
V 1.360 0.077 2.433
Mo 1.360 2.221 -0.997
Pt 0.000 0.000 0.000
Pt 0.000 2.298 1.436
```

Properties
Formation energy, eV/atom: -0.421
Energy above the lowest structure with this stoichiometry, meV/atom: 5
Space group: Cmmm (65)
DOS(E_F), states/eV/f.u.: 3.65

No. 2
An optimized crystal structure of BaLiSnPt2, computed with GGA-PBE.

extended XYZ file:
```
5
Lattice="4.408 0.000 0.000 0.000 4.408 0.000 -2.204 -2.204 5.918" Properties=species:S:1:pos:R:3 pbc="T T T"
Ba 0.000 0.000 0.000
Li 2.204 0.000 2.959
Sn 0.000 2.204 2.959
Pt 2.204 2.204 1.370
Pt 0.000 0.000 4.548
```

Properties
Formation energy, eV/atom: -0.748
Space group: I-4m2 (119)
DOS(E_F), states/eV/f.u.: 2.56

No. 3
An optimized crystal structure of Zr3OsI, computed with GGA-PBE.

extended XYZ file:
```
5
Lattice="-1.545 0.222 -4.892 1.338 -4.916 -0.645 -4.711 -1.468 1.421" Properties=species:S:1:pos:R:3 pbc="T T T"
I -2.459 -3.081 -2.058
Os 0.000 0.000 0.000
Zr 0.669 -2.458 -0.323
Zr -2.356 -0.734 0.711
Zr -0.773 0.111 -2.446
```

Properties
Energy above the lowest structure with this stoichiometry, meV/atom: 0
Uncorrected formation energy, kcal/mol of atoms: 7.0
Space group: Pm-3m (221)
DOS(E_F), states/eV/f.u.: 3.33

No. 4
An optimized crystal structure of ScGeAs2, computed with GGA-PBE.

extended XYZ file:
```
8
Lattice="-3.253 4.127 -3.063 -4.326 -4.155 -1.004 -6.474 1.575 2.958" Properties=species:S:1:pos:R:3 pbc="T T T"
Sc -3.790 -0.014 -2.033
Sc -7.295 -1.297 -0.040
As -4.242 2.517 -1.347
As -4.679 -1.750 -0.224
As -7.632 1.234 0.709
As -11.553 1.093 -1.355
Ge 0.000 0.000 0.000
Ge -6.758 2.844 -1.069
```

Properties
Formation energy, eV/atom: -0.336
Space group: I-42d (122)
DOS(E_F), states/eV/f.u.: 3.86

Q: The lowest DOS(E_F) belongs to which entry?
A: BaLiSnPt2

Repeat the first record exactly.
An optimized crystal structure of VMoPt2, computed with GGA-PBE.

extended XYZ file:
```
4
Lattice="2.721 0.000 0.000 0.000 4.441 -1.994 0.000 0.154 4.866" Properties=species:S:1:pos:R:3 pbc="T T T"
V 1.360 0.077 2.433
Mo 1.360 2.221 -0.997
Pt 0.000 0.000 0.000
Pt 0.000 2.298 1.436
```

Properties
Formation energy, eV/atom: -0.421
Energy above the lowest structure with this stoichiometry, meV/atom: 5
Space group: Cmmm (65)
DOS(E_F), states/eV/f.u.: 3.65

Please write out number 4 again, unchanged.
An optimized crystal structure of ScGeAs2, computed with GGA-PBE.

extended XYZ file:
```
8
Lattice="-3.253 4.127 -3.063 -4.326 -4.155 -1.004 -6.474 1.575 2.958" Properties=species:S:1:pos:R:3 pbc="T T T"
Sc -3.790 -0.014 -2.033
Sc -7.295 -1.297 -0.040
As -4.242 2.517 -1.347
As -4.679 -1.750 -0.224
As -7.632 1.234 0.709
As -11.553 1.093 -1.355
Ge 0.000 0.000 0.000
Ge -6.758 2.844 -1.069
```

Properties
Formation energy, eV/atom: -0.336
Space group: I-42d (122)
DOS(E_F), states/eV/f.u.: 3.86

Q: Number 3 is which compound?
A: Zr3OsI